Record 1
Below is Tb2SnOs after structural relaxation, with properties calculated at the PBE-GGA level.

## Properties
- DOS(E_F) (states/eV/atom) = 1.109
- total DFT energy (no corrections) (eV per atom) = -5.960
- formation energy (meV per atom) = 163
- energy above the most stable polymorph in this dataset (meV/atom) = 598
- symmetry = R-3m

Cell: 10.551 10.551 10.551 Å, 19.02 19.02 19.02°
Sites, in units of the cell vectors:
Tb 0.103 0.103 0.103
Tb 0.897 0.897 0.897
Sn 0.000 0.000 0.000
Os 0.500 0.500 0.500


Record 2
Below is TbSn2Os after structural relaxation, with properties calculated at the PBE-GGA level.

## Properties
- DOS(E_F) (states/eV/atom) = 0.616
- total DFT energy (no corrections) (eV per atom) = -6.158
- formation energy (meV per atom) = -192
- symmetry = R-3m

Cell: 5.710 5.710 5.710 Å, 46.52 46.52 46.52°
Sites, in units of the cell vectors:
Tb 0.000 0.000 0.000
Sn 0.226 0.226 0.226
Sn 0.774 0.774 0.774
Os 0.500 0.500 0.500


Record 3
Below is Tb2SnOs after structural relaxation, with properties calculated at the PBE-GGA level.

## Properties
- DOS(E_F) (states/eV/atom) = 0.330
- total DFT energy (no corrections) (eV per atom) = -6.558
- formation energy (meV per atom) = -435
- energy above the most stable polymorph in this dataset (meV/atom) = 0
- symmetry = P4/mmm

Cell: 3.389 3.389 8.322 Å, 90.00 90.00 90.00°
Sites, in units of the cell vectors:
Tb 0.000 0.000 0.204
Tb 0.000 0.000 0.796
Sn 0.500 0.500 0.500
Os 0.500 0.500 0.000


Record 4
Below is Tb5SnOs2 after structural relaxation, with properties calculated at the PBE-GGA level.

## Properties
- DOS(E_F) (states/eV/atom) = 0.818
- total DFT energy (no corrections) (eV per atom) = -6.593
- formation energy (meV per atom) = -391
- symmetry = I4/mcm

Cell: 8.816 8.816 8.816 Å, 128.03 128.03 76.58°
Sites, in units of the cell vectors:
Tb 0.000 0.000 0.000
Tb 0.030 0.530 0.825
Tb 0.205 0.030 0.500
Tb 0.295 0.795 0.825
Tb 0.470 0.295 0.500
Tb 0.500 0.500 0.000
Tb 0.530 0.705 0.500
Tb 0.705 0.205 0.175
Tb 0.795 0.970 0.500
Tb 0.970 0.470 0.175
Sn 0.250 0.250 0.000
Sn 0.750 0.750 0.000
Os 0.135 0.365 0.500
Os 0.365 0.865 0.230
Os 0.635 0.135 0.770
Os 0.865 0.635 0.500


Record 5
Below is Tc3SnOs after structural relaxation, with properties calculated at the PBE-GGA level.

## Properties
- DOS(E_F) (states/eV/atom) = 1.662
- total DFT energy (no corrections) (eV per atom) = -7.752
- formation energy (meV per atom) = 1514
- energy above the most stable polymorph in this dataset (meV/atom) = 0
- symmetry = Pm-3m

Cell: 4.727 4.727 4.727 Å, 90.00 90.00 90.00°
Sites, in units of the cell vectors:
Tc 0.000 0.000 0.500
Tc 0.000 0.500 0.000
Tc 0.500 0.000 0.000
Sn 0.500 0.500 0.500
Os 0.000 0.000 0.000


Record 6
Below is Tc2SnOs after structural relaxation, with properties calculated at the PBE-GGA level.

## Properties
- DOS(E_F) (states/eV/atom) = 0.688
- total DFT energy (no corrections) (eV per atom) = -7.786
- formation energy (meV per atom) = 1205
- symmetry = I-42d

Cell: 6.662 6.662 6.662 Å, 125.32 125.32 81.00°
Sites, in units of the cell vectors:
Tc 0.088 0.625 0.963
Tc 0.375 0.338 0.463
Tc 0.662 0.125 0.037
Tc 0.875 0.912 0.537
Sn 0.250 0.750 0.500
Sn 0.500 0.500 0.000
Os 0.000 0.000 0.000
Os 0.750 0.250 0.500